Entry 1:
Compound: Cd2PtWI
Source: Alexandria via LeMat-Bulk
Functional: GGA-PBEsol
Structure: optimized geometry

Calculated values
For the raw formation energy, the calculation gives 1.601 eV/atom. As for the space group: No. 123. The calculation puts the total energy at -3.39 eV/atom.

Lattice parameters (Å, degrees): 4.909 5.265 5.265 90.00 90.00 90.00
Sites, in units of the cell vectors:
Cd1 0.000 0.000 0.500
Cd2 0.000 0.500 0.000
I1 0.500 0.000 0.000
Pt1 0.500 0.500 0.500
W1 0.000 0.000 0.000

---

Entry 2:
Compound: RbCd2I2
Source: Alexandria via LeMat-Bulk
Functional: GGA-PBEsol
Structure: optimized geometry

Calculated values
For the raw formation energy, the calculation gives -0.530 eV/atom. As for the space group: No. 139. The calculation puts the total energy at -1.92 eV/atom.

Lattice parameters (Å, degrees): 4.164 4.164 10.341 101.62 101.62 90.00
Sites, in units of the cell vectors:
I1 0.609 0.609 0.217
I2 0.391 0.391 0.783
Rb1 0.000 0.000 0.000
Cd1 0.750 0.250 0.500
Cd2 0.250 0.750 0.500

---

Entry 3:
Compound: RbCdI3
Source: Alexandria via LeMat-Bulk
Functional: GGA-PBEsol
Structure: optimized geometry

Calculated values
For the raw formation energy, the calculation gives -0.857 eV/atom. As for the space group: No. 221. The calculation puts the total energy at -2.36 eV/atom.

Lattice parameters (Å, degrees): 5.870 5.870 5.870 90.00 90.00 90.00
Sites, in units of the cell vectors:
Rb1 0.500 0.500 0.500
I1 0.500 0.000 0.000
I2 0.000 0.000 0.500
I3 0.000 0.500 0.000
Cd1 0.000 0.000 0.000

---

Entry 4:
Compound: RbY2CdI
Source: Alexandria via LeMat-Bulk
Functional: GGA-PBEsol
Structure: optimized geometry

Calculated values
For the raw formation energy, the calculation gives 1.180 eV/atom. As for the space group: No. 123. The calculation puts the total energy at -2.35 eV/atom.

Lattice parameters (Å, degrees): 5.617 5.760 5.760 90.00 90.00 90.00
Sites, in units of the cell vectors:
Cd1 0.500 0.000 0.000
I1 0.500 0.500 0.500
Rb1 0.000 0.000 0.000
Y1 0.000 0.000 0.500
Y2 0.000 0.500 0.000

---

Entry 5:
Compound: Sc2CdReI
Source: Alexandria via LeMat-Bulk
Functional: GGA-PBEsol
Structure: optimized geometry

Calculated values
For the raw formation energy, the calculation gives 1.062 eV/atom. As for the space group: No. 123. The calculation puts the total energy at -4.84 eV/atom.

Lattice parameters (Å, degrees): 4.816 5.151 5.151 90.00 90.00 90.00
Sites, in units of the cell vectors:
I1 0.000 0.000 0.000
Re1 0.500 0.000 0.000
Cd1 0.500 0.500 0.500
Sc1 0.000 0.000 0.500
Sc2 0.000 0.500 0.000

---

Entry 6:
Compound: CdSbRhI2
Source: Alexandria via LeMat-Bulk
Functional: GGA-PBEsol
Structure: optimized geometry

Calculated values
For the raw formation energy, the calculation gives 0.209 eV/atom. As for the space group: No. 123. The calculation puts the total energy at -3.28 eV/atom. For the polymorph energy (0 for the lowest one), the calculation gives 0.00 eV per formula unit.

Lattice parameters (Å, degrees): 4.969 5.459 5.459 90.00 90.00 90.00
Sites, in units of the cell vectors:
I1 0.000 0.500 0.000
I2 0.000 0.000 0.500
Rh1 0.000 0.000 0.000
Cd1 0.500 0.500 0.500
Sb1 0.500 0.000 0.000

---

Entry 7:
Compound: CdTe2RhI
Source: Alexandria via LeMat-Bulk
Functional: GGA-PBEsol
Structure: optimized geometry

Calculated values
For the raw formation energy, the calculation gives 0.262 eV/atom. As for the space group: No. 123. The calculation puts the total energy at -3.37 eV/atom. For the polymorph energy (0 for the lowest one), the calculation gives 0.00 eV per formula unit.

Lattice parameters (Å, degrees): 5.153 5.153 5.379 90.00 90.00 90.00
Sites, in units of the cell vectors:
Te1 0.000 0.500 0.000
Te2 0.500 0.000 0.000
Cd1 0.500 0.500 0.500
Rh1 0.000 0.000 0.000
I1 0.000 0.000 0.500

---

Entry 8:
Compound: CdRu3I
Source: Alexandria via LeMat-Bulk
Functional: GGA-PBEsol
Structure: optimized geometry

Calculated values
For the raw formation energy, the calculation gives 1.724 eV/atom. As for the space group: No. 221. The calculation puts the total energy at -4.97 eV/atom.

Lattice parameters (Å, degrees): 4.717 4.717 4.717 90.00 90.00 90.00
Last column: magnetic moment on the atom in μB.
Sites, in units of the cell vectors:
Ru1 0.500 0.000 0.000  0.27
Ru2 0.000 0.500 0.000  0.27
Ru3 0.000 0.000 0.500  0.27
I1 0.000 0.000 0.000  -0.01
Cd1 0.500 0.500 0.500  -0.01

---

Entry 9:
Compound: YCdRuI2
Source: Alexandria via LeMat-Bulk
Functional: GGA-PBEsol
Structure: optimized geometry

Calculated values
For the raw formation energy, the calculation gives 0.944 eV/atom. As for the space group: No. 123. The calculation puts the total energy at -3.40 eV/atom.

Lattice parameters (Å, degrees): 5.759 5.759 5.995 90.00 90.00 90.00
Last column: magnetic moment on the atom in μB.
Sites, in units of the cell vectors:
I1 0.000 0.500 0.000  0.04
I2 0.500 0.000 0.000  0.04
Y1 0.000 0.000 0.000  0.00
Ru1 0.500 0.500 0.500  2.84
Cd1 0.000 0.000 0.500  0.01

---

Entry 10:
Compound: Cd4Sb2I3
Source: Alexandria via LeMat-Bulk
Functional: GGA-PBEsol
Structure: optimized geometry

Calculated values
For the raw formation energy, the calculation gives -0.281 eV/atom. As for the space group: No. 205. The calculation puts the total energy at -2.42 eV/atom.

Lattice parameters (Å, degrees): 13.468 13.468 13.468 90.00 90.00 90.00
Sites, in units of the cell vectors:
I1 0.740 0.313 0.433
I2 0.933 0.760 0.687
I3 0.313 0.433 0.740
I4 0.813 0.433 0.760
I5 0.433 0.740 0.313
I6 0.187 0.933 0.740
I7 0.567 0.260 0.687
I8 0.260 0.813 0.067
I9 0.760 0.813 0.433
I10 0.760 0.687 0.933
I11 0.687 0.933 0.760
I12 0.260 0.687 0.567
I13 0.687 0.567 0.260
I14 0.740 0.187 0.933
I15 0.433 0.760 0.813
I16 0.313 0.067 0.240
I17 0.933 0.740 0.187
I18 0.813 0.067 0.260
I19 0.187 0.567 0.240
I20 0.240 0.187 0.567
I21 0.567 0.240 0.187
I22 0.240 0.313 0.067
I23 0.067 0.260 0.813
I24 0.067 0.240 0.313
Sb1 0.897 0.103 0.603
Sb2 0.103 0.603 0.897
Sb3 0.441 0.941 0.559
Sb4 0.559 0.059 0.441
Sb5 0.441 0.559 0.059
Sb6 0.603 0.603 0.603
Sb7 0.559 0.441 0.941
Sb8 0.103 0.897 0.397
Sb9 0.059 0.441 0.559
Sb10 0.897 0.397 0.103
Sb11 0.603 0.897 0.103
Sb12 0.941 0.559 0.441
Sb13 0.059 0.059 0.059
Sb14 0.941 0.941 0.941
Sb15 0.397 0.397 0.397
Sb16 0.397 0.103 0.897
Cd1 0.973 0.521 0.244
Cd2 0.221 0.779 0.279
Cd3 0.244 0.527 0.021
Cd4 0.021 0.244 0.527
Cd5 0.244 0.973 0.521
Cd6 0.779 0.279 0.221
Cd7 0.527 0.479 0.744
Cd8 0.527 0.021 0.244
Cd9 0.256 0.473 0.521
Cd10 0.744 0.527 0.479
Cd11 0.027 0.479 0.756
Cd12 0.744 0.973 0.979
Cd13 0.279 0.221 0.779
Cd14 0.721 0.779 0.221
Cd15 0.473 0.979 0.756
Cd16 0.256 0.027 0.021
Cd17 0.979 0.756 0.473
Cd18 0.279 0.279 0.279
Cd19 0.027 0.021 0.256
Cd20 0.756 0.027 0.479
Cd21 0.479 0.744 0.527
Cd22 0.021 0.256 0.027
Cd23 0.779 0.221 0.721
Cd24 0.979 0.744 0.973
Cd25 0.221 0.721 0.779
Cd26 0.473 0.521 0.256
Cd27 0.721 0.721 0.721
Cd28 0.756 0.473 0.979
Cd29 0.521 0.244 0.973
Cd30 0.521 0.256 0.473
Cd31 0.479 0.756 0.027
Cd32 0.973 0.979 0.744

---

Entry 11:
Compound: ScCdSbI2
Source: Alexandria via LeMat-Bulk
Functional: GGA-PBEsol
Structure: optimized geometry

Calculated values
For the raw formation energy, the calculation gives 0.332 eV/atom. As for the space group: No. 123. The calculation puts the total energy at -2.85 eV/atom.

Lattice parameters (Å, degrees): 5.543 5.543 5.622 90.00 90.00 90.00
Last column: magnetic moment on the atom in μB.
Sites, in units of the cell vectors:
Sb1 0.000 0.000 0.500  -0.07
I1 0.500 0.000 0.000  -0.02
I2 0.000 0.500 0.000  -0.02
Cd1 0.000 0.000 0.000  0.00
Sc1 0.500 0.500 0.500  0.39

---

Entry 12:
Compound: CdSb2TeI
Source: Alexandria via LeMat-Bulk
Functional: GGA-PBEsol
Structure: optimized geometry

Calculated values
For the raw formation energy, the calculation gives 0.619 eV/atom. As for the space group: No. 123. The calculation puts the total energy at -2.50 eV/atom.

Lattice parameters (Å, degrees): 5.364 5.557 5.557 90.00 90.00 90.00
Sites, in units of the cell vectors:
Te1 0.500 0.000 0.000
Cd1 0.000 0.000 0.000
Sb1 0.000 0.500 0.000
Sb2 0.000 0.000 0.500
I1 0.500 0.500 0.500

---

Entry 13:
Compound: TiCdSb2I
Source: Alexandria via LeMat-Bulk
Functional: GGA-PBEsol
Structure: optimized geometry

Calculated values
For the raw formation energy, the calculation gives 0.936 eV/atom. As for the space group: No. 123. The calculation puts the total energy at -3.14 eV/atom.

Lattice parameters (Å, degrees): 5.333 5.333 5.768 90.00 90.00 90.00
Last column: magnetic moment on the atom in μB.
Sites, in units of the cell vectors:
Ti1 0.500 0.500 0.500  1.82
Sb1 0.500 0.000 0.000  -0.11
Sb2 0.000 0.500 0.000  -0.11
Cd1 0.000 0.000 0.000  0.00
I1 0.000 0.000 0.500  -0.06

---

Entry 14:
Compound: TiCdSbI2
Source: Alexandria via LeMat-Bulk
Functional: GGA-PBEsol
Structure: optimized geometry

Calculated values
For the raw formation energy, the calculation gives 0.752 eV/atom. As for the space group: No. 123. The calculation puts the total energy at -2.77 eV/atom.

Lattice parameters (Å, degrees): 5.522 5.609 5.609 90.00 90.00 90.00
Last column: magnetic moment on the atom in μB.
Sites, in units of the cell vectors:
Ti1 0.500 0.500 0.500  1.93
I1 0.000 0.500 0.000  -0.06
I2 0.000 0.000 0.500  -0.06
Cd1 0.000 0.000 0.000  0.00
Sb1 0.500 0.000 0.000  -0.26

---

Entry 15:
Compound: TlCdSb2I
Source: Alexandria via LeMat-Bulk
Functional: GGA-PBEsol
Structure: optimized geometry

Calculated values
For the raw formation energy, the calculation gives 0.734 eV/atom. As for the space group: No. 123. The calculation puts the total energy at -2.21 eV/atom.

Lattice parameters (Å, degrees): 5.654 5.654 5.998 90.00 90.00 90.00
Last column: magnetic moment on the atom in μB.
Sites, in units of the cell vectors:
Cd1 0.500 0.500 0.500  0.01
I1 0.000 0.000 0.500  0.07
Sb1 0.500 0.000 0.000  0.20
Sb2 0.000 0.500 0.000  0.20
Tl1 0.000 0.000 0.000  0.00

---

Entry 16:
Compound: TlCdSbI2
Source: Alexandria via LeMat-Bulk
Functional: GGA-PBEsol
Structure: optimized geometry

Calculated values
For the raw formation energy, the calculation gives 0.406 eV/atom. As for the space group: No. 123. The calculation puts the total energy at -1.98 eV/atom.

Lattice parameters (Å, degrees): 5.769 5.971 5.971 90.00 90.00 90.00
Last column: magnetic moment on the atom in μB.
Sites, in units of the cell vectors:
I1 0.000 0.500 0.000  0.04
I2 0.000 0.000 0.500  0.04
Sb1 0.500 0.000 0.000  0.48
Cd1 0.500 0.500 0.500  -0.03
Tl1 0.000 0.000 0.000  -0.01

---

Entry 17:
Compound: YCdSbI2
Source: Alexandria via LeMat-Bulk
Functional: GGA-PBEsol
Structure: optimized geometry

Calculated values
For the raw formation energy, the calculation gives -0.284 eV/atom. As for the space group: No. 123. The calculation puts the total energy at -3.51 eV/atom.

Lattice parameters (Å, degrees): 5.782 5.782 6.039 90.00 90.00 90.00
Sites, in units of the cell vectors:
Sb1 0.000 0.000 0.500
Cd1 0.500 0.500 0.500
I1 0.000 0.500 0.000
I2 0.500 0.000 0.000
Y1 0.000 0.000 0.000

---

Entry 18:
Compound: ScCd2WI
Source: Alexandria via LeMat-Bulk
Functional: GGA-PBEsol
Structure: optimized geometry

Calculated values
For the raw formation energy, the calculation gives 1.400 eV/atom. As for the space group: No. 123. The calculation puts the total energy at -3.51 eV/atom.

Lattice parameters (Å, degrees): 4.804 5.491 5.491 90.00 90.00 90.00
Last column: magnetic moment on the atom in μB.
Sites, in units of the cell vectors:
Cd1 0.000 0.000 0.500  0.00
Cd2 0.000 0.500 0.000  0.00
I1 0.500 0.500 0.500  0.00
Sc1 0.000 0.000 0.000  -0.02
W1 0.500 0.000 0.000  1.14

---

Entry 19:
Compound: CdSeI3
Source: Alexandria via LeMat-Bulk
Functional: GGA-PBEsol
Structure: optimized geometry

Calculated values
For the raw formation energy, the calculation gives 0.329 eV/atom. As for the space group: No. 221. The calculation puts the total energy at -1.74 eV/atom. For the polymorph energy (0 for the lowest one), the calculation gives 0.91 eV per formula unit.

Lattice parameters (Å, degrees): 5.750 5.750 5.750 90.00 90.00 90.00
Last column: magnetic moment on the atom in μB.
Sites, in units of the cell vectors:
I1 0.000 0.000 0.500  0.21
I2 0.000 0.500 0.000  0.21
I3 0.500 0.000 0.000  0.21
Se1 0.500 0.500 0.500  1.29
Cd1 0.000 0.000 0.000  0.00

---

Entry 20:
Compound: CdSeI3
Source: Alexandria via LeMat-Bulk
Functional: GGA-PBEsol
Structure: optimized geometry

Calculated values
For the raw formation energy, the calculation gives 0.147 eV/atom. As for the space group: No. 221. The calculation puts the total energy at -1.92 eV/atom. For the polymorph energy (0 for the lowest one), the calculation gives 0.00 eV per formula unit.

Lattice parameters (Å, degrees): 5.633 5.633 5.633 90.00 90.00 90.00
Sites, in units of the cell vectors:
I1 0.000 0.000 0.500
I2 0.000 0.500 0.000
I3 0.500 0.000 0.000
Se1 0.000 0.000 0.000
Cd1 0.500 0.500 0.500